# RbCuPdSe2S, optimized geometry, DFT PBE
data_RbCuPdSe2S
_symmetry_space_group_name_H-M 'C m c m'
_symmetry_Int_Tables_number 63
_symmetry_space_group_name_Hall '-C 2c 2'
_cell_length_a 3.836
_cell_length_b 14.571
_cell_length_c 10.290
_cell_angle_alpha 90.00
_cell_angle_beta 90.00
_cell_angle_gamma 90.00
loop_
_atom_site_label
_atom_site_type_symbol
_atom_site_fract_x
_atom_site_fract_y
_atom_site_fract_z
Rb1 Rb 0.000 0.241 0.250
Cu1 Cu 0.000 0.040 0.750
Pd1 Pd 0.000 0.500 0.000
Se1 Se 0.000 0.113 0.539
S1 S 0.000 0.456 0.750
# Uncorrected energy: -3.9362 eV per atom